[1]
AgSb2MoI | Alexandria | GGA-PBE | optimized geometry; calculated volume = 158.1 Å³ per cell; distance to the lowest polymorph of the same formula = 0.00 eV per formula unit; raw formation energy = 14.9 kcal/mol of atoms; VASP energy = -20.26 eV for the cell shown; DOS(E_F) = 5.50 states/eV/f.u.
1.0
5.162 0.000 0.000
0.000 5.162 0.000
0.000 0.000 5.933
Ag Sb Mo I
1 2 1 1
direct
0.000 0.000 0.000 Ag
0.000 0.500 0.500 Sb
0.500 0.000 0.500 Sb
0.500 0.500 0.500 Mo
0.500 0.500 0.000 I

=====

[2]
AgMoWI2 | Alexandria | GGA-PBE | optimized geometry; calculated volume = 154.9 Å³ per cell; distance to the lowest polymorph of the same formula = 1.95 eV per formula unit; raw formation energy = 53.2 kcal/mol of atoms; VASP energy = -18.20 eV for the cell shown; DOS(E_F) = 4.06 states/eV/f.u.
1.0
5.502 0.000 0.000
0.000 5.502 0.000
0.000 0.000 5.116
Ag Mo W I
1 1 1 2
direct
0.000 0.000 0.000 Ag
0.500 0.500 0.500 Mo
0.000 0.000 0.500 W
0.000 0.500 0.000 I
0.500 0.000 0.000 I

=====

[3]
AgMoWI2 | Alexandria | GGA-PBE | optimized geometry; calculated volume = 155.8 Å³ per cell; distance to the lowest polymorph of the same formula = 0.00 eV per formula unit; raw formation energy = 44.2 kcal/mol of atoms; VASP energy = -20.15 eV for the cell shown; DOS(E_F) = 5.66 states/eV/f.u.
1.0
5.390 0.000 0.000
0.000 5.390 0.000
0.000 0.000 5.362
Ag Mo W I
1 1 1 2
direct
0.000 0.000 0.000 Ag
0.000 0.000 0.500 Mo
0.500 0.500 0.000 W
0.000 0.500 0.500 I
0.500 0.000 0.500 I

=====

[4]
ZnAgMo2I | Alexandria | GGA-PBE | optimized geometry; calculated volume = 127.8 Å³ per cell; raw formation energy = 44.6 kcal/mol of atoms; VASP energy = -17.68 eV for the cell shown; DOS(E_F) = 5.36 states/eV/f.u.
1.0
4.991 0.000 0.000
0.000 4.991 0.000
0.000 0.000 5.133
Zn Ag Mo I
1 1 2 1
direct
0.000 0.000 0.000 Zn
0.500 0.500 0.000 Ag
0.000 0.500 0.500 Mo
0.500 0.000 0.500 Mo
0.500 0.500 0.500 I

=====

[5]
AgI2N | Alexandria | GGA-PBE | optimized geometry; calculated volume = 225.9 Å³ per cell; distance to the lowest polymorph of the same formula = 0.00 eV per formula unit; raw formation energy = 21.7 kcal/mol of atoms; VASP energy = -21.03 eV for the cell shown; DOS(E_F) = 1.17 states/eV/f.u.
1.0
-2.960 2.960 6.446
2.960 -2.960 6.446
2.960 2.960 -6.446
Ag I N
2 4 2
direct
0.000 0.000 0.000 Ag
0.750 0.250 0.500 Ag
0.225 0.625 0.100 I
0.375 0.475 0.600 I
0.525 0.125 0.900 I
0.875 0.775 0.400 I
0.250 0.750 0.500 N
0.500 0.500 0.000 N

=====

[6]
AgIN2 | Alexandria | GGA-PBE | optimized geometry; calculated volume = 54.6 Å³ per cell; distance to the lowest polymorph of the same formula = 2.52 eV per formula unit; raw formation energy = 50.1 kcal/mol of atoms; VASP energy = -12.36 eV for the cell shown; DOS(E_F) = 2.18 states/eV/f.u.
1.0
0.000 3.011 3.011
3.011 0.000 3.011
3.011 3.011 0.000
Ag I N
1 1 2
direct
0.000 0.000 0.000 Ag
0.500 0.500 0.500 I
0.250 0.250 0.250 N
0.750 0.750 0.750 N

=====

[7]
AgI2N2 | Alexandria | GGA-PBE | optimized geometry; calculated volume = 139.3 Å³ per cell; distance to the lowest polymorph of the same formula = 9.03 eV per formula unit; raw formation energy = 40.6 kcal/mol of atoms; VASP energy = -13.81 eV for the cell shown; DOS(E_F) = 1.92 states/eV/f.u.
1.0
4.417 0.000 0.000
0.000 4.417 0.000
0.000 0.000 7.139
Ag I N
1 2 2
direct
0.000 0.000 0.000 Ag
0.000 0.000 0.500 I
0.500 0.500 0.500 I
0.000 0.500 0.000 N
0.500 0.000 0.000 N

=====

[8]
Ag2IN | Alexandria | GGA-PBE | optimized geometry; calculated volume = 81.3 Å³ per cell; distance to the lowest polymorph of the same formula = 1.90 eV per formula unit; raw formation energy = 28.9 kcal/mol of atoms; VASP energy = -10.56 eV for the cell shown; DOS(E_F) = 1.54 states/eV/f.u.
1.0
0.000 3.438 3.438
3.438 0.000 3.438
3.438 3.438 0.000
Ag I N
2 1 1
direct
0.250 0.250 0.250 Ag
0.750 0.750 0.750 Ag
0.000 0.000 0.000 I
0.500 0.500 0.500 N

=====

[9]
AgI4N2 | Alexandria | GGA-PBE | optimized geometry; calculated volume = 257.6 Å³ per cell; raw formation energy = 22.4 kcal/mol of atoms; VASP energy = -18.89 eV for the cell shown; DOS(E_F) = 1.27 states/eV/f.u.
1.0
4.899 0.000 0.000
-0.203 6.340 0.000
-1.891 -2.975 8.294
Ag I N
1 4 2
direct
0.000 0.000 0.000 Ag
0.132 0.740 0.325 I
0.499 0.732 0.868 I
0.501 0.268 0.132 I
0.868 0.260 0.675 I
0.491 0.362 0.699 N
0.509 0.638 0.301 N

=====

[10]
AgI2N2 | Alexandria | GGA-PBE | optimized geometry; calculated volume = 142.3 Å³ per cell; distance to the lowest polymorph of the same formula = 8.25 eV per formula unit; raw formation energy = 37.0 kcal/mol of atoms; VASP energy = -14.59 eV for the cell shown; DOS(E_F) = 3.26 states/eV/f.u.
1.0
4.099 0.000 0.000
0.000 4.099 0.000
0.000 0.000 8.469
Ag I N
1 2 2
direct
0.000 0.000 0.000 Ag
0.500 0.500 0.000 I
0.500 0.500 0.500 I
0.000 0.500 0.500 N
0.500 0.000 0.500 N

=====

[11]
AgIN2 | Alexandria | GGA-PBE | optimized geometry; calculated volume = 138.5 Å³ per cell; distance to the lowest polymorph of the same formula = 0.67 eV per formula unit; raw formation energy = 39.4 kcal/mol of atoms; VASP energy = -28.43 eV for the cell shown; DOS(E_F) = 1.32 states/eV/f.u.
1.0
-2.476 2.476 5.648
2.476 -2.476 5.648
2.476 2.476 -5.648
Ag I N
2 2 4
direct
0.000 0.000 0.000 Ag
0.750 0.250 0.500 Ag
0.250 0.750 0.500 I
0.500 0.500 0.000 I
0.163 0.625 0.038 N
0.375 0.413 0.538 N
0.587 0.125 0.962 N
0.875 0.837 0.462 N

=====

[12]
AgIN2 | Alexandria | GGA-PBE | optimized geometry; calculated volume = 66.2 Å³ per cell; distance to the lowest polymorph of the same formula = 0.00 eV per formula unit; raw formation energy = 35.6 kcal/mol of atoms; VASP energy = -14.88 eV for the cell shown; DOS(E_F) = 2.05 states/eV/f.u.
1.0
1.755 1.013 6.203
-1.755 1.013 6.203
0.000 -2.027 6.203
Ag I N
1 1 2
direct
0.000 0.000 0.000 Ag
0.500 0.500 0.500 I
0.384 0.384 0.384 N
0.616 0.616 0.616 N